No. 1
This record from the Alexandria database describes K2Si after structural relaxation. The functional is PBE.

It has space group Cm (No. 8), with a = 22.761 Å, b = 5.589 Å, c = 3.967 Å, α = 90.00°, β = 99.81° and γ = 90.00°. The inequivalent atoms are K at (0.000, 0.000, 0.000), K at (0.103, 0.500, 0.096), K at (0.246, 0.500, 0.737), K at (0.359, 0.000, 0.358), Si at (0.137, 0.000, 0.630) and Si at (0.197, 0.000, 0.189).

The uncorrected energy is -7.45 eV per formula unit. The uncorrected formation energy is 57 meV/atom. The relative energy among the computed polymorphs is 0.04 eV per formula unit. The total magnetization comes out at 0.00 μB per cell.

No. 2
This record from the Alexandria database describes K2Si after structural relaxation. The functional is PBE.

It has space group Cmcm (No. 63), with a = 3.557 Å, b = 19.129 Å, c = 6.002 Å, α = 90.00°, β = 90.00° and γ = 90.00°. The inequivalent atoms are K at (0.000, 0.045, 0.250), K at (0.000, 0.279, 0.750) and Si at (0.000, 0.379, 0.250).

The uncorrected energy is -6.28 eV per formula unit. The uncorrected formation energy is 447 meV/atom. The relative energy among the computed polymorphs is 1.21 eV per formula unit. The total magnetization comes out at 3.81 μB per cell.

No. 3
This record from the Alexandria database describes KSi3 after structural relaxation. The functional is PBE.

It has space group P-6m2 (No. 187), with a = 3.7537 Å, b = 3.7537 Å, c = 7.5924 Å, α = 90.00°, β = 90.00° and γ = 120.00°. The inequivalent atoms are K at (0.0000, 0.0000, 0.0000), Si at (0.0000, 0.0000, 0.5000) and Si at (0.6667, 0.3333, 0.3357).

The uncorrected energy is -16.39 eV per formula unit. The uncorrected formation energy is 245 meV/atom. The relative energy among the computed polymorphs is 0.31 eV per formula unit. The total magnetization comes out at 0.00 μB per cell.

No. 4
This record from the Alexandria database describes KSi2 after structural relaxation. The functional is PBE.

It has space group I4/mcm (No. 140), with a = 7.886 Å, b = 7.886 Å, c = 5.555 Å, α = 90.00°, β = 90.00° and γ = 90.00°. The inequivalent atoms are K at (0.000, 0.000, 0.250) and Si at (0.100, 0.400, 0.000).

The uncorrected energy is -9.76 eV per formula unit. The uncorrected formation energy is 730 meV/atom. The relative energy among the computed polymorphs is 2.10 eV per formula unit. The total magnetization comes out at 0.00 μB per cell.

No. 5
This record from the Alexandria database describes KSi4 after structural relaxation. The functional is PBE.

It has space group I4/m (No. 87), with a = 8.183 Å, b = 8.183 Å, c = 3.348 Å, α = 90.00°, β = 90.00° and γ = 90.00°. The inequivalent atoms are K at (0.000, 0.000, 0.000) and Si at (0.107, 0.376, 0.500).

The uncorrected energy is -21.19 eV per formula unit. The uncorrected formation energy is 321 meV/atom. The relative energy among the computed polymorphs is 0.00 eV per formula unit. The total magnetization comes out at 0.00 μB per cell.

No. 6
This record from the Alexandria database describes KSi2 after structural relaxation. The functional is PBE.

It has space group Cmcm (No. 63), with a = 2.888 Å, b = 16.290 Å, c = 6.458 Å, α = 90.00°, β = 90.00° and γ = 90.00°. The inequivalent atoms are K at (0.000, 0.100, 0.250), Si at (0.000, 0.210, 0.750) and Si at (0.000, 0.409, 0.250).

The uncorrected energy is -10.74 eV per formula unit. The uncorrected formation energy is 401 meV/atom. The relative energy among the computed polymorphs is 1.12 eV per formula unit. The total magnetization comes out at 0.00 μB per cell.